# AcPrP2O8 | Alexandria via LeMat-Bulk | GGA-PBE | relaxed
data_AcPrP2O8
_chemical_formula_sum 'Ac1 Pr1 P2 O8'
_cell_length_a 5.3777
_cell_length_b 5.3777
_cell_length_c 7.6390
_cell_angle_alpha 90.00
_cell_angle_beta 90.00
_cell_angle_gamma 120.00
_symmetry_space_group_name_H-M 'P -3 m 1'
_symmetry_Int_Tables_number 164
_symmetry_space_group_name_Hall '-P 3 2"'
loop_
_atom_site_label
_atom_site_type_symbol
_atom_site_fract_x
_atom_site_fract_y
_atom_site_fract_z
Ac1 Ac 0.0000 0.0000 0.0000
Pr1 Pr 0.0000 0.0000 0.5000
P1 P 0.3333 0.6667 0.3140
O1 O 0.1765 0.3529 0.2422
O2 O 0.3333 0.6667 0.5138
# E_form (uncorrected): -2.865 eV/atom
# density: 4.842 Mg/m³

---

# AcPr2PO8 | Alexandria via LeMat-Bulk | GGA-PBE | relaxed
data_AcPr2PO8
_chemical_formula_sum 'Ac1 Pr2 P1 O8'
_cell_length_a 5.2395
_cell_length_b 5.2395
_cell_length_c 6.8724
_cell_angle_alpha 90.00
_cell_angle_beta 90.00
_cell_angle_gamma 120.00
_symmetry_space_group_name_H-M 'P -3 m 1'
_symmetry_Int_Tables_number 164
_symmetry_space_group_name_Hall '-P 3 2"'
loop_
_atom_site_label
_atom_site_type_symbol
_atom_site_fract_x
_atom_site_fract_y
_atom_site_fract_z
Ac1 Ac 0.0000 0.0000 0.0000
Pr1 Pr 0.3333 0.6667 0.3657
P1 P 0.0000 0.0000 0.5000
O1 O 0.1525 0.3049 0.6467
O2 O 0.3333 0.6667 0.0453
# E_form (uncorrected): -2.487 eV/atom
# density: 6.787 Mg/m³

---

# AcP2PtO8 | Alexandria via LeMat-Bulk | GGA-PBE | relaxed
data_AcP2PtO8
_chemical_formula_sum 'Ac3 P6 Pt3 O24'
_cell_length_a 4.8587
_cell_length_b 4.8587
_cell_length_c 22.5159
_cell_angle_alpha 90.00
_cell_angle_beta 90.00
_cell_angle_gamma 120.00
_symmetry_space_group_name_H-M 'R 3 2'
_symmetry_Int_Tables_number 155
_symmetry_space_group_name_Hall 'R 3 2"'
loop_
_atom_site_label
_atom_site_type_symbol
_atom_site_fract_x
_atom_site_fract_y
_atom_site_fract_z
Ac1 Ac 0.0000 0.0000 0.0000
P1 P 0.0000 0.0000 0.2490
Pt1 Pt 0.0000 0.0000 0.5000
O1 O 0.0000 0.0000 0.3184
O2 O 0.0176 0.3706 0.8969
# E_form (uncorrected): -1.975 eV/atom
# density: 6.623 Mg/m³

---

# RbAc2PO5 | Alexandria via LeMat-Bulk | GGA-PBE | relaxed
data_RbAc2PO5
_chemical_formula_sum 'Rb2 Ac4 P2 O10'
_cell_length_a 7.279
_cell_length_b 7.279
_cell_length_c 5.648
_cell_angle_alpha 90.00
_cell_angle_beta 90.00
_cell_angle_gamma 90.00
_symmetry_space_group_name_H-M 'P 4/m b m'
_symmetry_Int_Tables_number 127
_symmetry_space_group_name_Hall '-P 4 2ab'
loop_
_atom_site_label
_atom_site_type_symbol
_atom_site_fract_x
_atom_site_fract_y
_atom_site_fract_z
Rb1 Rb 0.000 0.000 0.000
Ac1 Ac 0.184 0.316 0.500
P1 P 0.000 0.500 0.000
O1 O 0.000 0.000 0.500
O2 O 0.121 0.621 0.230
# E_form (uncorrected): -2.316 eV/atom
# density: 7.219 Mg/m³

---

# RbAcP2O8 | Alexandria via LeMat-Bulk | GGA-PBE | relaxed
data_RbAcP2O8
_chemical_formula_sum 'Rb1 Ac1 P2 O8'
_cell_length_a 5.8198
_cell_length_b 5.8198
_cell_length_c 8.4473
_cell_angle_alpha 90.00
_cell_angle_beta 90.00
_cell_angle_gamma 120.00
_symmetry_space_group_name_H-M 'P -3'
_symmetry_Int_Tables_number 147
_symmetry_space_group_name_Hall '-P 3'
loop_
_atom_site_label
_atom_site_type_symbol
_atom_site_fract_x
_atom_site_fract_y
_atom_site_fract_z
Rb1 Rb 0.0000 0.0000 0.0000
Ac1 Ac 0.0000 0.0000 0.5000
P1 P 0.3333 0.6667 0.7475
O1 O 0.1852 0.3764 0.6887
O2 O 0.3333 0.6667 0.9312
# E_form (uncorrected): -2.282 eV/atom
# density: 3.367 Mg/m³

---

# RbAcPO4 | Alexandria via LeMat-Bulk | GGA-PBE | relaxed
data_RbAcPO4
_chemical_formula_sum 'Rb4 Ac4 P4 O16'
_cell_length_a 6.549
_cell_length_b 7.270
_cell_length_c 9.722
_cell_angle_alpha 90.00
_cell_angle_beta 90.00
_cell_angle_gamma 90.00
_symmetry_space_group_name_H-M 'I m m a'
_symmetry_Int_Tables_number 74
_symmetry_space_group_name_Hall '-I 2b 2'
loop_
_atom_site_label
_atom_site_type_symbol
_atom_site_fract_x
_atom_site_fract_y
_atom_site_fract_z
Rb1 Rb 0.250 0.250 0.250
Ac1 Ac 0.000 0.000 0.000
P1 P 0.000 0.250 0.644
O1 O 0.000 0.074 0.735
O2 O 0.196 0.250 0.548
# E_form (uncorrected): -2.287 eV/atom
# density: 5.846 Mg/m³

---

# Rb2AcP2O6 | Alexandria via LeMat-Bulk | GGA-PBE | relaxed
data_Rb2AcP2O6
_chemical_formula_sum 'Rb4 Ac2 P4 O12'
_cell_length_a 10.230
_cell_length_b 6.006
_cell_length_c 7.236
_cell_angle_alpha 90.00
_cell_angle_beta 114.61
_cell_angle_gamma 90.00
_symmetry_space_group_name_H-M 'C 1 2/m 1'
_symmetry_Int_Tables_number 12
_symmetry_space_group_name_Hall '-C 2y'
loop_
_atom_site_label
_atom_site_type_symbol
_atom_site_fract_x
_atom_site_fract_y
_atom_site_fract_z
Rb1 Rb 0.214 0.000 0.155
Ac1 Ac 0.000 0.000 0.500
P1 P 0.067 0.500 0.194
O1 O 0.004 0.286 0.757
O2 O 0.234 0.500 0.350
# E_form (uncorrected): -2.296 eV/atom
# density: 4.567 Mg/m³

---

# AcP2RuO8 | Alexandria via LeMat-Bulk | GGA-PBE | relaxed
data_AcP2RuO8
_chemical_formula_sum 'Ac3 P6 Ru3 O24'
_cell_length_a 4.8374
_cell_length_b 4.8374
_cell_length_c 22.3064
_cell_angle_alpha 90.00
_cell_angle_beta 90.00
_cell_angle_gamma 120.00
_symmetry_space_group_name_H-M 'R 3 2'
_symmetry_Int_Tables_number 155
_symmetry_space_group_name_Hall 'R 3 2"'
loop_
_atom_site_label
_atom_site_type_symbol
_atom_site_fract_x
_atom_site_fract_y
_atom_site_fract_z
Ac1 Ac 0.0000 0.0000 0.0000
P1 P 0.0000 0.0000 0.2472
Ru1 Ru 0.0000 0.0000 0.5000
O1 O 0.0000 0.0000 0.3174
O2 O 0.0116 0.3759 0.8952
# E_form (uncorrected): -2.092 eV/atom
# density: 5.709 Mg/m³